VASP calculation (PBE with a Hubbard U) on a relaxed structure of MoPdNO2.

Cell and atoms, written as POSCAR:
```
MoPdNO2
1.0
4.0139 0.0000 0.0000
0.0000 4.0139 0.0000
0.0000 0.0000 3.9124
Mo Pd N O
1 1 1 2
direct
0.0000 0.0000 0.0000
0.5000 0.5000 0.5000
0.5000 0.5000 0.0000
0.0000 0.5000 0.5000
0.5000 0.0000 0.5000
```

Values from the calculation:
The space group is No. 123. For the uncorrected energy, the calculation gives -5.448 eV per atom.